P:
Here is crystalline KZrTlS3 at its relaxed geometry from the Open Quantum Materials Database. Energies are from GGA-PBE.

Calculated values
space group = No. 11
magnetization = 0.00 μB per formula unit
crystal system = monoclinic

Cell lengths 9.050, 3.930, 9.522 Å; angles 90.00, 99.71, 90.00 degrees
Element x y z (fractional)
S1 0.158 0.250 0.197
S2 0.640 0.250 0.522
S3 0.360 0.750 0.478
S4 0.462 0.250 0.818
S5 0.842 0.750 0.803
S6 0.538 0.750 0.182
K1 0.787 0.250 0.055
K2 0.213 0.750 0.945
Zr1 0.581 0.750 0.704
Zr2 0.419 0.250 0.296
Tl1 0.849 0.750 0.469
Tl2 0.151 0.250 0.531

Q:
Here is crystalline KZrTlS3 at its relaxed geometry from the Open Quantum Materials Database. Energies are from GGA-PBE.

Calculated values
space group = No. 62
magnetization = 0.00 μB per formula unit
crystal system = orthorhombic

Cell lengths 15.034, 3.804, 11.517 Å; angles 90.00, 90.00, 90.00 degrees
Element x y z (fractional)
K1 0.264 0.750 0.118
K2 0.764 0.750 0.382
K3 0.236 0.250 0.618
K4 0.736 0.250 0.882
S1 0.186 0.250 0.901
S2 0.314 0.750 0.401
S3 0.686 0.250 0.599
S4 0.451 0.250 0.611
S5 0.814 0.750 0.099
S6 0.549 0.750 0.389
S7 0.429 0.250 0.161
S8 0.049 0.750 0.111
S9 0.951 0.250 0.889
S10 0.929 0.250 0.339
S11 0.071 0.750 0.661
S12 0.571 0.750 0.839
Tl1 0.573 0.750 0.131
Tl2 0.073 0.750 0.369
Tl3 0.927 0.250 0.631
Tl4 0.427 0.250 0.869
Zr1 0.427 0.250 0.376
Zr2 0.573 0.750 0.624
Zr3 0.073 0.750 0.876
Zr4 0.927 0.250 0.124

R:
Here is crystalline KZrTlS3 at its relaxed geometry from the Open Quantum Materials Database. Energies are from GGA-PBE.

Calculated values
space group = No. 63
magnetization = 0.00 μB per formula unit
crystal system = orthorhombic

Cell lengths 8.317, 8.317, 11.242 Å; angles 90.00, 90.00, 153.84 degrees
Element x y z (fractional)
S1 0.507 0.493 0.750
S2 0.893 0.107 0.504
S3 0.493 0.507 0.250
S4 0.107 0.893 0.004
S5 0.107 0.893 0.496
S6 0.893 0.107 0.996
Tl1 0.140 0.860 0.750
Tl2 0.860 0.140 0.250
Zr1 0.500 0.500 0.500
Zr2 0.500 0.500 0.000
K1 0.161 0.839 0.250
K2 0.839 0.161 0.750

Q wins, 7.8 kJ/mol of atoms ahead of the next structure.

P:
Here is crystalline KSbW at its relaxed geometry from the Open Quantum Materials Database. Energies are from GGA-PBE.

Calculated values
space group = No. 216
magnetization = 3.99 μB per formula unit
crystal system = cubic

Cell lengths 5.129, 5.129, 5.129 Å; angles 60.00, 60.00, 60.00 degrees
Each line ends with the local moment (μB).
Element x y z (fractional)
W1 0.750 0.750 0.750  3.15
K1 0.000 0.000 0.000  0.05
Sb1 0.250 0.250 0.250  -0.19

Q:
Here is crystalline KSbW at its relaxed geometry from the Open Quantum Materials Database. Energies are from GGA-PBE.

Calculated values
space group = No. 216
magnetization = 3.92 μB per formula unit
crystal system = cubic

Cell lengths 5.034, 5.034, 5.034 Å; angles 60.00, 60.00, 60.00 degrees
Element x y z (fractional)
Sb1 0.750 0.750 0.750
K1 0.250 0.250 0.250
W1 0.000 0.000 0.000

Q wins, 67.2 kJ/mol of atoms ahead of the next structure.